Entry 1:
Material: SmGa6Cu4
Method: DFT, PBE-GGA
State: relaxed

Calculated values
SG   No. 187
D(E_F)   3.32 states/eV per cell
Energy of formation from the pure elements   -252 meV per atom
Total magnetic moment   0.00 μB per atom
Uncorrected energy   -3.82 eV/atom
Density   7.65 g/cm3

a = 7.116 Å, b = 7.116 Å, c = 4.072 Å
α = 90.00°, β = 90.00°, γ = 120.00°
Positions (direct):
1 Sm 0.000 0.000 0.000
2 Ga 0.070 0.535 0.000
3 Ga 0.396 0.198 0.500
4 Ga 0.465 0.535 0.000
5 Ga 0.465 0.930 0.000
6 Ga 0.802 0.198 0.500
7 Ga 0.802 0.604 0.500
8 Cu 0.210 0.420 0.500
9 Cu 0.210 0.790 0.500
10 Cu 0.580 0.790 0.500
11 Cu 0.667 0.333 0.000

Entry 2:
Material: Sm2Ga4Cu5
Method: DFT, PBE-GGA
State: relaxed

Calculated values
SG   No. 69
D(E_F)   6.26 states/eV per cell
Energy of formation from the pure elements   -309 meV per atom
Total magnetic moment   0.00 μB per atom
Uncorrected energy   -4.13 eV/atom
Density   7.71 g/cm3

a = 8.754 Å, b = 7.877 Å, c = 5.477 Å
α = 79.71°, β = 62.29°, γ = 38.00°
Positions (direct):
1 Sm 0.139 0.139 0.861
2 Sm 0.861 0.861 0.139
3 Ga 0.217 0.522 0.478
4 Ga 0.478 0.783 0.217
5 Ga 0.522 0.217 0.783
6 Ga 0.783 0.478 0.522
7 Cu 0.000 0.000 0.500
8 Cu 0.250 0.250 0.250
9 Cu 0.500 0.500 0.000
10 Cu 0.500 0.500 0.500
11 Cu 0.750 0.750 0.750

Entry 3:
Material: Sm3Ga4Cu2
Method: DFT, PBE-GGA
State: relaxed

Calculated values
SG   No. 12
D(E_F)   6.36 states/eV per cell
Energy of formation from the pure elements   -539 meV per atom
Total magnetic moment   0.00 μB per atom
Uncorrected energy   -4.37 eV/atom
Density   7.51 g/cm3

a = 5.744 Å, b = 5.744 Å, c = 8.479 Å
α = 106.01°, β = 106.01°, γ = 45.20°
Positions (direct):
1 Sm 0.000 0.000 0.000
2 Sm 0.355 0.355 0.320
3 Sm 0.645 0.645 0.680
4 Ga 0.087 0.087 0.408
5 Ga 0.278 0.278 0.933
6 Ga 0.722 0.722 0.067
7 Ga 0.913 0.913 0.592
8 Cu 0.349 0.349 0.680
9 Cu 0.651 0.651 0.320

Entry 4:
Material: Sm4GaCu3
Method: DFT, PBE-GGA
State: relaxed

Calculated values
SG   No. 166
D(E_F)   5.91 states/eV per cell
Energy above the lowest structure with this stoichiometry   0.0 meV/atom
Energy of formation from the pure elements   -275 meV per atom
Total magnetic moment   0.00 μB per atom
Uncorrected energy   -4.55 eV/atom
Density   7.82 g/cm3

a = 8.768 Å, b = 8.768 Å, c = 8.768 Å
α = 33.50°, β = 33.50°, γ = 33.50°
Positions (direct):
1 Sm 0.122 0.122 0.122
2 Sm 0.373 0.373 0.373
3 Sm 0.627 0.627 0.627
4 Sm 0.878 0.878 0.878
5 Ga 0.500 0.500 0.500
6 Cu 0.000 0.000 0.000
7 Cu 0.246 0.246 0.246
8 Cu 0.754 0.754 0.754

Entry 5:
Material: Sm4Ga3Cu
Method: DFT, PBE-GGA
State: relaxed

Calculated values
SG   No. 166
D(E_F)   9.07 states/eV per cell
Energy above the lowest structure with this stoichiometry   13.8 meV/atom
Energy of formation from the pure elements   -456 meV per atom
Total magnetic moment   0.00 μB per atom
Uncorrected energy   -4.46 eV/atom
Density   7.55 g/cm3

a = 8.959 Å, b = 8.959 Å, c = 8.959 Å
α = 33.22°, β = 33.22°, γ = 33.22°
Positions (direct):
1 Sm 0.123 0.123 0.123
2 Sm 0.373 0.373 0.373
3 Sm 0.627 0.627 0.627
4 Sm 0.877 0.877 0.877
5 Ga 0.250 0.250 0.250
6 Ga 0.500 0.500 0.500
7 Ga 0.750 0.750 0.750
8 Cu 0.000 0.000 0.000

Entry 6:
Material: SmGa6Cu2
Method: DFT, PBE-GGA
State: relaxed

Calculated values
SG   No. 227
D(E_F)   12.04 states/eV per cell
Energy of formation from the pure elements   82 meV per atom
Total magnetic moment   0.00 μB per atom
Uncorrected energy   -3.37 eV/atom
Density   5.84 g/cm3

a = 8.240 Å, b = 8.240 Å, c = 8.240 Å
α = 60.00°, β = 60.00°, γ = 60.00°
Positions (direct):
1 Sm 0.125 0.125 0.125
2 Sm 0.875 0.875 0.875
3 Ga 0.134 0.134 0.616
4 Ga 0.134 0.616 0.134
5 Ga 0.134 0.616 0.616
6 Ga 0.384 0.384 0.866
7 Ga 0.384 0.866 0.384
8 Ga 0.384 0.866 0.866
9 Ga 0.616 0.134 0.134
10 Ga 0.616 0.134 0.616
11 Ga 0.616 0.616 0.134
12 Ga 0.866 0.384 0.384
13 Ga 0.866 0.384 0.866
14 Ga 0.866 0.866 0.384
15 Cu 0.000 0.500 0.500
16 Cu 0.500 0.000 0.500
17 Cu 0.500 0.500 0.000
18 Cu 0.500 0.500 0.500

Entry 7:
Material: Sm5GaCu2
Method: DFT, PBE-GGA
State: relaxed

Calculated values
SG   No. 140
D(E_F)   19.21 states/eV per cell
Energy of formation from the pure elements   -222 meV per atom
Total magnetic moment   0.00 μB per atom
Uncorrected energy   -4.57 eV/atom
Density   7.65 g/cm3

a = 8.571 Å, b = 8.571 Å, c = 8.571 Å
α = 124.39°, β = 124.39°, γ = 82.55°
Positions (direct):
1 Sm 0.000 0.000 0.000
2 Sm 0.012 0.512 0.815
3 Sm 0.196 0.012 0.500
4 Sm 0.304 0.804 0.815
5 Sm 0.488 0.304 0.500
6 Sm 0.500 0.500 0.000
7 Sm 0.512 0.696 0.500
8 Sm 0.696 0.196 0.185
9 Sm 0.804 0.988 0.500
10 Sm 0.988 0.488 0.185
11 Ga 0.250 0.250 0.000
12 Ga 0.750 0.750 0.000
13 Cu 0.126 0.374 0.500
14 Cu 0.374 0.874 0.248
15 Cu 0.626 0.126 0.752
16 Cu 0.874 0.626 0.500

Entry 8:
Material: Sm2Ga7Cu
Method: DFT, PBE-GGA
State: relaxed

Calculated values
SG   No. 115
D(E_F)   3.93 states/eV per cell
Energy of formation from the pure elements   -437 meV per atom
Total magnetic moment   0.00 μB per atom
Uncorrected energy   -3.91 eV/atom
Density   7.35 g/cm3

a = 4.260 Å, b = 4.260 Å, c = 10.607 Å
α = 90.00°, β = 90.00°, γ = 90.00°
Positions (direct):
1 Sm 0.000 0.500 0.242
2 Sm 0.500 0.000 0.758
3 Ga 0.000 0.000 0.000
4 Ga 0.000 0.000 0.500
5 Ga 0.000 0.500 0.641
6 Ga 0.000 0.500 0.872
7 Ga 0.500 0.000 0.128
8 Ga 0.500 0.000 0.359
9 Ga 0.500 0.500 0.500
10 Cu 0.500 0.500 0.000

Entry 9:
Material: Sm3GaCu8
Method: DFT, PBE-GGA
State: relaxed

Calculated values
SG   No. 156
D(E_F)   7.93 states/eV per cell
Energy of formation from the pure elements   -178 meV per atom
Total magnetic moment   0.00 μB per atom
Uncorrected energy   -4.34 eV/atom
Density   8.47 g/cm3

a = 5.247 Å, b = 5.247 Å, c = 8.466 Å
α = 90.00°, β = 90.00°, γ = 120.00°
Positions (direct):
1 Sm 0.000 0.000 0.000
2 Sm 0.000 0.000 0.391
3 Sm 0.333 0.667 0.839
4 Ga 0.333 0.667 0.458
5 Cu 0.002 0.501 0.188
6 Cu 0.339 0.169 0.683
7 Cu 0.499 0.501 0.188
8 Cu 0.499 0.998 0.188
9 Cu 0.667 0.333 0.437
10 Cu 0.667 0.333 0.941
11 Cu 0.831 0.169 0.683
12 Cu 0.831 0.661 0.683

Entry 10:
Material: Sm3GaCu2
Method: DFT, PBE-GGA
State: relaxed

Calculated values
SG   No. 164
D(E_F)   10.91 states/eV per cell
Energy of formation from the pure elements   -303 meV per atom
Total magnetic moment   0.00 μB per atom
Uncorrected energy   -4.53 eV/atom
Density   7.76 g/cm3

a = 5.073 Å, b = 5.073 Å, c = 12.446 Å
α = 90.00°, β = 90.00°, γ = 120.00°
Positions (direct):
1 Sm 0.000 0.000 0.244
2 Sm 0.000 0.000 0.756
3 Sm 0.333 0.667 0.418
4 Sm 0.333 0.667 0.922
5 Sm 0.667 0.333 0.078
6 Sm 0.667 0.333 0.582
7 Ga 0.333 0.667 0.670
8 Ga 0.667 0.333 0.330
9 Cu 0.000 0.000 0.000
10 Cu 0.000 0.000 0.500
11 Cu 0.333 0.667 0.171
12 Cu 0.667 0.333 0.829

Entry 11:
Material: Sm3GaCu4
Method: DFT, PBE-GGA
State: relaxed

Calculated values
SG   No. 71
D(E_F)   6.84 states/eV per cell
Energy of formation from the pure elements   -82 meV per atom
Total magnetic moment   0.00 μB per atom
Uncorrected energy   -4.28 eV/atom
Density   7.28 g/cm3

a = 8.589 Å, b = 8.589 Å, c = 8.589 Å
α = 154.05°, β = 140.26°, γ = 48.08°
Positions (direct):
1 Sm 0.000 0.000 0.000
2 Sm 0.293 0.793 0.500
3 Sm 0.707 0.207 0.500
4 Ga 0.500 0.500 0.000
5 Cu 0.091 0.380 0.711
6 Cu 0.331 0.620 0.711
7 Cu 0.669 0.380 0.289
8 Cu 0.909 0.620 0.289

Entry 12:
Material: SmGa8Cu4
Method: DFT, PBE-GGA
State: relaxed

Calculated values
SG   No. 191
D(E_F)   11.74 states/eV per cell
Energy above the lowest structure with this stoichiometry   9.8 meV/atom
Energy of formation from the pure elements   -219 meV per atom
Total magnetic moment   0.00 μB per atom
Uncorrected energy   -3.71 eV/atom
Density   7.66 g/cm3

a = 9.007 Å, b = 9.007 Å, c = 8.906 Å
α = 90.00°, β = 90.00°, γ = 120.00°
Positions (direct):
1 Sm 0.000 0.000 0.000
2 Sm 0.333 0.667 0.500
3 Sm 0.667 0.333 0.500
4 Ga 0.000 0.000 0.341
5 Ga 0.000 0.000 0.659
6 Ga 0.000 0.295 0.500
7 Ga 0.000 0.347 0.000
8 Ga 0.000 0.500 0.275
9 Ga 0.000 0.500 0.725
10 Ga 0.000 0.653 0.000
11 Ga 0.000 0.705 0.500
12 Ga 0.295 0.000 0.500
13 Ga 0.295 0.295 0.500
14 Ga 0.333 0.667 0.147
15 Ga 0.333 0.667 0.853
16 Ga 0.347 0.000 0.000
17 Ga 0.347 0.347 0.000
18 Ga 0.500 0.000 0.275
19 Ga 0.500 0.000 0.725
20 Ga 0.500 0.500 0.275
21 Ga 0.500 0.500 0.725
22 Ga 0.653 0.000 0.000
23 Ga 0.653 0.653 0.000
24 Ga 0.667 0.333 0.147
25 Ga 0.667 0.333 0.853
26 Ga 0.705 0.000 0.500
27 Ga 0.705 0.705 0.500
28 Cu 0.167 0.335 0.240
29 Cu 0.167 0.335 0.760
30 Cu 0.167 0.833 0.240
31 Cu 0.167 0.833 0.760
32 Cu 0.335 0.167 0.240
33 Cu 0.335 0.167 0.760
34 Cu 0.665 0.833 0.240
35 Cu 0.665 0.833 0.760
36 Cu 0.833 0.167 0.240
37 Cu 0.833 0.167 0.760
38 Cu 0.833 0.665 0.240
39 Cu 0.833 0.665 0.760